(1)
RbZr2N4 PBE relaxed; calculated total energy = -54.4 eV/f.u.
1.0
6.547 -2.553 0.000
6.547 2.553 0.000
-0.878 0.000 3.470
N Rb Zr
4 1 2
direct
0.536 0.146 0.332 N
0.146 0.536 0.332 N
0.854 0.464 0.668 N
0.464 0.854 0.668 N
0.000 0.000 0.000 Rb
0.724 0.724 0.227 Zr
0.276 0.276 0.773 Zr

---

(2)
FeBiS2Br PBE relaxed; calculated total energy = -23.9 eV/f.u.
1.0
-0.012 -4.014 5.208
-2.035 -5.771 2.406
7.853 -3.809 -3.282
Bi Br Fe S
2 2 2 4
direct
0.714 0.714 0.297 Bi
0.286 0.286 0.703 Bi
0.366 0.366 0.062 Br
0.634 0.634 0.938 Br
0.000 0.000 0.000 Fe
0.000 0.000 0.500 Fe
0.066 0.066 0.253 S
0.367 0.367 0.447 S
0.633 0.633 0.553 S
0.934 0.934 0.747 S

---

(3)
Y2HoCd3Ir2Pt PBE relaxed; formation energy = -63.9 kJ/mol of atoms; calculated total energy = -49.9 eV/f.u.
1.0
3.939 0.000 0.000
0.000 6.485 3.757
0.000 -6.485 3.757
Cd Ho Ir Pt Y
3 1 2 1 2
direct
0.500 0.741 0.001 Cd
0.500 0.258 0.258 Cd
0.500 0.001 0.741 Cd
0.000 0.593 0.593 Ho
0.500 0.666 0.336 Ir
0.500 0.336 0.666 Ir
0.000 0.997 0.997 Pt
0.000 0.407 0.000 Y
0.000 0.000 0.407 Y

---

(4)
AlCuTcHg PBE relaxed; calculated total energy = -17.0 eV/f.u.; ΔE to the lowest computed polymorph = 0.0 kJ per mole of atoms
1.0
0.000 3.150 3.150
3.150 0.000 3.150
3.150 3.150 0.000
Al Cu Hg Tc
1 1 1 1
direct
0.000 0.000 0.000 Al
0.750 0.750 0.750 Cu
0.500 0.500 0.500 Hg
0.250 0.250 0.250 Tc

---

(5)
Ta4GaPC2 PBE relaxed; calculated total energy = -79.3 eV/f.u.
1.0
-0.592 -0.591 -3.110
0.085 -2.429 2.113
-12.267 1.373 2.073
C Ga P Ta
2 1 1 4
direct
0.333 0.667 0.261 C
0.333 0.667 0.739 C
0.000 0.000 0.000 Ga
0.667 0.333 0.500 P
0.667 0.333 0.170 Ta
0.000 0.000 0.359 Ta
0.000 0.000 0.641 Ta
0.667 0.333 0.830 Ta

---

(6)
Hf2PdPb PBE relaxed; calculated total energy = -28.3 eV/f.u.
1.0
0.000 3.484 3.484
3.484 0.000 3.484
3.484 3.484 0.000
Hf Pb Pd
2 1 1
direct
0.000 0.000 0.000 Hf
0.750 0.750 0.750 Hf
0.500 0.500 0.500 Pb
0.250 0.250 0.250 Pd

---

(7)
BaHgPb2 PBE relaxed; calculated total energy = -11.1 eV/f.u.
1.0
0.000 4.045 4.045
4.045 0.000 4.045
4.045 4.045 0.000
Ba Hg Pb
1 1 2
direct
0.250 0.250 0.250 Ba
0.500 0.500 0.500 Hg
0.000 0.000 0.000 Pb
0.750 0.750 0.750 Pb

---

(8)
LiPuNi4 PBE relaxed; calculated total energy = -37.9 eV/f.u.
1.0
4.216 -1.175 2.013
2.177 3.077 3.000
0.229 -0.983 4.710
Li Ni Pu
1 4 1
direct
0.000 0.000 0.000 Li
0.877 0.374 0.374 Ni
0.374 0.877 0.374 Ni
0.374 0.374 0.374 Ni
0.374 0.374 0.877 Ni
0.750 0.750 0.750 Pu

---

(9)
LiYZnTe3 PBE relaxed; calculated total energy = -24.3 eV/f.u.; ΔE to the lowest computed polymorph = 10.4 kJ per mole of atoms
1.0
8.637 0.000 0.000
0.000 4.345 0.000
0.000 0.000 18.324
Li Te Y Zn
4 12 4 4
direct
0.040 0.250 0.250 Li
0.540 0.250 0.250 Li
0.460 0.750 0.750 Li
0.960 0.750 0.750 Li
0.624 0.750 0.058 Te
0.001 0.250 0.083 Te
0.286 0.750 0.218 Te
0.786 0.750 0.282 Te
0.501 0.250 0.417 Te
0.124 0.750 0.442 Te
0.876 0.250 0.558 Te
0.499 0.750 0.583 Te
0.214 0.250 0.718 Te
0.714 0.250 0.782 Te
0.999 0.750 0.917 Te
0.376 0.250 0.942 Te
0.265 0.750 0.049 Y
0.765 0.750 0.451 Y
0.235 0.250 0.549 Y
0.735 0.250 0.951 Y
0.867 0.750 0.147 Zn
0.367 0.750 0.353 Zn
0.633 0.250 0.647 Zn
0.133 0.250 0.853 Zn

---

(10)
Mg3Ta PBE relaxed; calculated total energy = -15.5 eV/f.u.
1.0
5.237 -3.024 0.000
0.151 6.308 0.000
0.000 0.000 4.897
Mg Ta
6 2
direct
0.494 0.487 0.000 Mg
0.494 0.977 0.000 Mg
0.983 0.977 0.000 Mg
0.340 0.179 0.500 Mg
0.851 0.690 0.500 Mg
0.339 0.690 0.500 Mg
0.967 0.434 0.000 Ta
0.866 0.233 0.500 Ta

---

(11)
ZnBr PBE relaxed; calculated total energy = -3.1 eV/f.u.
1.0
4.045 0.000 0.000
-2.022 3.503 0.000
0.000 0.000 6.874
Br Zn
2 2
direct
0.667 0.333 0.250 Br
0.333 0.667 0.750 Br
0.000 0.000 0.000 Zn
0.000 0.000 0.500 Zn

---

(12)
NaYHo PBE relaxed; calculated total energy = -9.9 eV/f.u.; ΔE to the lowest computed polymorph = 0.0 kJ per mole of atoms
1.0
0.000 3.747 3.747
3.747 0.000 3.747
3.747 3.747 0.000
Ho Na Y
1 1 1
direct
0.250 0.250 0.250 Ho
0.000 0.000 0.000 Na
0.750 0.750 0.750 Y